# 1
Ba2AgIrSe: relaxed, PBE.

Unit cell a=5.867 b=5.867 c=5.066 alpha=90.00 beta=90.00 gamma=90.00
Space group P4/mmm (No. 123)
Inequivalent atoms, fractional coordinates:
Ba (0.000, 0.500, 0.000) x2
Ag (0.000, 0.000, 0.500) x1
Ir (0.000, 0.000, 0.000) x1
Se (0.500, 0.500, 0.500) x1

Output
Total moment, μB per formula unit: 0.000
Fermi-level density of states, states/eV per cell: 3.35
Formation energy (no corrections), eV per atom: -0.330



# 2
AlTc2Hg: relaxed, PBE.

Unit cell a=3.070 b=4.558 c=9.160 alpha=90.00 beta=90.00 gamma=90.00
Space group Immm (No. 71)
Inequivalent atoms, fractional coordinates:
Al (0.000, 0.000, 0.000) x2
Tc (0.000, 0.500, 0.270) x4
Hg (0.000, 0.000, 0.500) x2

Output
Total moment, μB per formula unit: 0.005
Fermi-level density of states, states/eV per cell: 9.07
Energy relative to the elements, eV/atom: 0.315
Energy above the lowest structure with this stoichiometry, eV per atom: 0.2968



# 3
HoSc2GaPd4: relaxed, PBE.

Unit cell a=4.6478 b=4.6478 c=23.2833 alpha=90.00 beta=90.00 gamma=120.00
Space group R-3m (No. 166, hexagonal axes)
Inequivalent atoms, fractional coordinates:
Ho (0.0000, 0.0000, 0.0000) x3
Sc (0.0000, 0.0000, 0.2430) x6
Ga (0.0000, 0.0000, 0.5000) x3
Pd (0.0000, 0.0000, 0.1260) x6
Pd (0.0000, 0.0000, 0.3869) x6

Output
Total moment, μB per formula unit: 0.000
Fermi-level density of states, states/eV per cell: 19.64
Energy relative to the elements, eV/atom: -0.839



# 4
DyZrNp2As4: relaxed, PBE.

Unit cell a=6.997 b=4.028 c=7.021 alpha=90.00 beta=109.27 gamma=90.00
Space group P2/m (No. 10)
Inequivalent atoms, fractional coordinates:
Dy (0.000, 0.000, 0.000) x1
Zr (0.000, 0.500, 0.500) x1
Np (0.500, 0.000, 0.500) x1
Np (0.500, 0.500, 0.000) x1
As (0.241, 0.000, 0.741) x2
As (0.246, 0.500, 0.256) x2

Output
Total moment, μB per formula unit: 0.090
Fermi-level density of states, states/eV per cell: 21.30
Energy relative to the elements, eV/atom: -1.003



What is the total moment in the first record? 0.000 μB per formula unit